Compound: La2SbAu2
Source: Alexandria
Functional: PBE
Structure: optimized geometry

## Properties
* N(E_F): 1.026 states/eV/atom
* total magnetic moment: 0.0 μB/f.u.
* ΔE to the lowest computed polymorph: 0.2452 eV/atom
* formation energy from raw total energies: -663 meV per atom
* symmetry: I4/mmm (139)
* crystal system: tetragonal
* total DFT energy (no corrections): -4.77 eV/atom

abc: 5.9600 5.9600 5.9600
angles: 120.99 120.99 88.29
Fractional positions:
La: 0.2500 0.7500 0.5000
La: 0.7500 0.2500 0.5000
Sb: 0.0000 0.0000 0.0000
Au: 0.3479 0.3479 0.0000
Au: 0.6521 0.6521 0.0000

=====

Compound: La2SbAu
Source: Alexandria
Functional: PBE
Structure: optimized geometry

## Properties
* N(E_F): 1.226 states/eV/atom
* total magnetic moment: 0.0 μB/f.u.
* formation energy from raw total energies: -921 meV per atom
* symmetry: C2/m (12)
* crystal system: monoclinic
* total DFT energy (no corrections): -5.24 eV/atom

abc: 4.4546 4.4546 8.0555
angles: 106.15 106.15 60.05
Fractional positions:
La: 0.2472 0.2472 0.2426
La: 0.7528 0.7528 0.7574
Sb: 0.0000 0.0000 0.5000
Au: 0.5000 0.5000 0.0000

=====

Compound: La3Sb4Au4
Source: Alexandria
Functional: PBE
Structure: optimized geometry

## Properties
* N(E_F): 0.774 states/eV/atom
* total magnetic moment: 0.0 μB/f.u.
* formation energy from raw total energies: -704 meV per atom
* symmetry: Immm (71)
* crystal system: orthorhombic
* total DFT energy (no corrections): -4.74 eV/atom

abc: 14.9843 14.9843 14.9843
angles: 163.34 162.24 24.44
Fractional positions:
La: 0.0000 0.0000 0.0000
La: 0.3506 0.8506 0.5000
La: 0.6494 0.1494 0.5000
Sb: 0.1918 0.6918 0.5000
Sb: 0.4458 0.4458 0.0000
Sb: 0.5542 0.5542 0.0000
Sb: 0.8082 0.3082 0.5000
Au: 0.1001 0.6001 0.5000
Au: 0.2556 0.2556 0.0000
Au: 0.7444 0.7444 0.0000
Au: 0.8999 0.3999 0.5000

=====

Compound: La4Sb8Au3
Source: Alexandria
Functional: PBE
Structure: optimized geometry

## Properties
* N(E_F): 0.429 states/eV/atom
* total magnetic moment: 0.0 μB/f.u.
* formation energy from raw total energies: -800 meV per atom
* symmetry: P-4m2 (115)
* crystal system: tetragonal
* total DFT energy (no corrections): -4.97 eV/atom

abc: 4.5203 4.5203 20.3936
angles: 90.00 90.00 90.00
Fractional positions:
La: 0.0000 0.5000 0.1186
La: 0.0000 0.5000 0.6290
La: 0.5000 0.0000 0.3710
La: 0.5000 0.0000 0.8814
Sb: 0.0000 0.0000 0.2445
Sb: 0.0000 0.0000 0.7555
Sb: 0.0000 0.5000 0.4111
Sb: 0.0000 0.5000 0.9237
Sb: 0.5000 0.0000 0.0763
Sb: 0.5000 0.0000 0.5889
Sb: 0.5000 0.5000 0.2451
Sb: 0.5000 0.5000 0.7549
Au: 0.0000 0.0000 0.0000
Au: 0.0000 0.0000 0.5000
Au: 0.5000 0.5000 0.5000

=====

Please write out number 3 again, unchanged.
Compound: La3Sb4Au4
Source: Alexandria
Functional: PBE
Structure: optimized geometry

## Properties
* N(E_F): 0.774 states/eV/atom
* total magnetic moment: 0.0 μB/f.u.
* formation energy from raw total energies: -704 meV per atom
* symmetry: Immm (71)
* crystal system: orthorhombic
* total DFT energy (no corrections): -4.74 eV/atom

abc: 14.9843 14.9843 14.9843
angles: 163.34 162.24 24.44
Fractional positions:
La: 0.0000 0.0000 0.0000
La: 0.3506 0.8506 0.5000
La: 0.6494 0.1494 0.5000
Sb: 0.1918 0.6918 0.5000
Sb: 0.4458 0.4458 0.0000
Sb: 0.5542 0.5542 0.0000
Sb: 0.8082 0.3082 0.5000
Au: 0.1001 0.6001 0.5000
Au: 0.2556 0.2556 0.0000
Au: 0.7444 0.7444 0.0000
Au: 0.8999 0.3999 0.5000